Computed, not measured: Ac5PrRu4 after structural relaxation at the PBE level of DFT.

Structure (extended XYZ):
```
10
Lattice="9.0577 -2.1503 0.0000 9.0577 2.1503 0.0000 -2.1158 0.0000 7.9366" Properties=species:S:1:pos:R:3 pbc="T T T"
Ac 0.0000 0.0000 0.0000
Ac 4.6808 0.0000 5.1410
Ac 5.7448 0.0000 1.3091
Ac 10.2547 0.0000 6.6275
Ac 11.3187 0.0000 2.7956
Pr -1.0579 0.0000 3.9683
Ru 1.8602 0.0000 4.9617
Ru 7.3343 0.0000 6.0288
Ru 8.6653 0.0000 1.9078
Ru 14.1393 0.0000 2.9749
```

Properties
Energy of formation (eV/f.u.): -0.25
SG: No. 12

=====

Computed, not measured: Ac2PrRu after structural relaxation at the PBE level of DFT.

Structure (extended XYZ):
```
4
Lattice="3.7194 0.0000 0.0000 0.0000 3.7194 0.0000 0.0000 0.0000 9.6909" Properties=species:S:1:pos:R:3 pbc="T T T"
Ac 0.0000 0.0000 1.7880
Ac 0.0000 0.0000 7.9029
Pr 1.8597 1.8597 4.8455
Ru 1.8597 1.8597 0.0000
```

Properties
Energy above the lowest structure with this stoichiometry (meV/atom): 188.2
Energy of formation (eV/f.u.): 0.22
SG: No. 123

=====

Computed, not measured: Ac3PrRu after structural relaxation at the PBE level of DFT.

Structure (extended XYZ):
```
20
Lattice="10.3519 0.0000 0.0000 0.0000 7.2100 0.0000 -4.9104 0.0000 10.2007" Properties=species:S:1:pos:R:3 pbc="T T T"
Ac -1.2035 0.6809 3.6847
Ac -3.6587 2.9241 8.7851
Ac -0.5368 4.1329 5.5366
Ac 1.9184 6.6820 0.4362
Ac -0.0599 0.8686 7.7081
Ac 2.3953 2.7364 2.6077
Ac 3.0462 4.4736 7.5930
Ac 5.5014 6.3414 2.4927
Ac 3.5231 0.5279 9.7645
Ac 5.9783 3.0770 4.6641
Ac 9.1002 4.2858 1.4157
Ac 6.6450 6.5291 6.5160
Pr -0.2376 4.6977 9.2510
Pr 2.2176 6.1173 4.1506
Pr 3.2239 1.0927 6.0501
Pr 5.6791 2.5123 0.9498
Ru 0.2147 1.6536 1.2660
Ru -2.2405 1.9514 6.3663
Ru 7.6820 5.2586 3.8344
Ru 5.2268 5.5564 8.9348
```

Properties
Energy above the lowest structure with this stoichiometry (meV/atom): 147.3
Energy of formation (eV/f.u.): 0.04
SG: No. 14

=====

Computed, not measured: AcPr4Ru4 after structural relaxation at the PBE level of DFT.

Structure (extended XYZ):
```
18
Lattice="9.2217 0.0000 0.0000 0.0000 9.2217 0.0000 0.0000 0.0000 5.7045" Properties=species:S:1:pos:R:3 pbc="T T T"
Ac 2.3054 2.3054 1.4261
Ac 6.9163 6.9163 4.2784
Pr 0.5995 6.2121 0.7344
Pr 1.6013 8.6222 3.5866
Pr 3.0096 5.2104 3.5866
Pr 4.0113 7.6204 0.7344
Pr 5.2104 1.6013 4.9701
Pr 6.2121 4.0113 2.1178
Pr 7.6204 0.5995 2.1178
Pr 8.6222 3.0096 4.9701
Ru 0.1447 5.7051 3.5158
Ru 1.0943 9.0771 0.6636
Ru 3.5166 4.7555 0.6636
Ru 4.4662 8.1274 3.5158
Ru 4.7555 1.0943 2.1887
Ru 5.7051 4.4662 5.0409
Ru 8.1274 0.1447 5.0409
Ru 9.0771 3.5166 2.1887
```

Properties
Energy of formation (eV/f.u.): 0.53
SG: No. 86

=====

Computed, not measured: SrAc2PrRu after structural relaxation at the PBE level of DFT.

Structure (extended XYZ):
```
5
Lattice="5.8783 0.0000 0.0000 0.0000 5.8783 0.0000 0.0000 0.0000 5.7483" Properties=species:S:1:pos:R:3 pbc="T T T"
Sr 0.0000 0.0000 0.0000
Ac 0.0000 2.9391 2.8741
Ac 2.9391 0.0000 2.8741
Pr 2.9391 2.9391 0.0000
Ru 2.9391 2.9391 2.8741
```

Properties
Energy of formation (eV/f.u.): -0.47
SG: No. 123

=====

Computed, not measured: AcPr2TlRu after structural relaxation at the PBE level of DFT.

Structure (extended XYZ):
```
5
Lattice="5.5606 0.0000 0.0000 0.0000 5.5606 0.0000 0.0000 0.0000 5.5426" Properties=species:S:1:pos:R:3 pbc="T T T"
Ac 0.0000 0.0000 0.0000
Pr 0.0000 2.7803 2.7631
Pr 2.7803 0.0000 2.7631
Tl 2.7803 2.7803 0.0073
Ru 0.0000 0.0000 2.7872
```

Properties
Energy of formation (eV/f.u.): -0.70
SG: No. 99

=====

Computed, not measured: AcPrZnRu after structural relaxation at the PBE level of DFT.

Structure (extended XYZ):
```
4
Lattice="0.0000 3.7031 3.7031 3.7031 0.0000 3.7031 3.7031 3.7031 0.0000" Properties=species:S:1:pos:R:3 pbc="T T T"
Ac 0.0000 0.0000 0.0000
Pr 3.7031 3.7031 3.7031
Zn 5.5547 5.5547 5.5547
Ru 1.8516 1.8516 1.8516
```

Properties
Energy above the lowest structure with this stoichiometry (meV/atom): 55.2
Energy of formation (eV/f.u.): -0.49
SG: No. 216

=====

Computed, not measured: AcPrZnRu after structural relaxation at the PBE level of DFT.

Structure (extended XYZ):
```
4
Lattice="4.5361 0.0000 0.0000 0.0000 2.1349 5.4639 0.0000 -2.1349 5.4639" Properties=species:S:1:pos:R:3 pbc="T T T"
Ac 0.0000 0.0000 0.0000
Pr 2.2680 0.0000 3.0743
Zn 2.2680 0.0000 6.3648
Ru 0.0000 0.0000 7.7940
```

Properties
Energy above the lowest structure with this stoichiometry (meV/atom): 0.0
Energy of formation (eV/f.u.): -0.71
SG: No. 38

=====

Computed, not measured: Ac4PrS7 after structural relaxation at the PBE level of DFT.

Structure (extended XYZ):
```
12
Lattice="7.0490 -2.0835 0.0000 7.0490 2.0835 0.0000 -3.3008 0.0000 11.8669" Properties=species:S:1:pos:R:3 pbc="T T T"
Ac 0.0000 0.0000 0.0000
Ac 0.1776 0.0000 9.0985
Ac 7.0371 0.0000 4.4958
Ac 10.6501 0.0000 6.7718
Pr 10.4587 0.0000 1.8016
S 1.4792 0.0000 2.6321
S 1.5009 0.0000 6.2135
S 5.1541 0.0000 0.8873
S 5.6837 0.0000 7.3934
S 5.8130 0.0000 11.0445
S 9.3162 0.0000 9.3593
S 11.9808 0.0000 4.1765
```

Properties
Formation energy from raw total energies (eV/atom): -2.120
SG: No. 8

=====

Computed, not measured: AcPrS2 after structural relaxation at the PBE level of DFT.

Structure (extended XYZ):
```
4
Lattice="3.6388 -2.1089 0.0000 3.6388 2.1089 0.0000 -2.4435 0.0000 6.8510" Properties=species:S:1:pos:R:3 pbc="T T T"
Ac 0.0000 0.0000 0.0000
Pr 2.4170 0.0000 3.4255
S -0.0132 0.0000 5.0576
S 4.8472 0.0000 1.7934
```

Properties
Formation energy from raw total energies (eV/atom): -2.013
Energy above the lowest structure with this stoichiometry (meV/atom): 0.0
SG: No. 12

=====

Computed, not measured: Ac3PrS6 after structural relaxation at the PBE level of DFT.

Structure (extended XYZ):
```
20
Lattice="6.2231 3.5929 4.8541 -6.2231 3.5929 4.8541 0.0000 -7.1858 4.8541" Properties=species:S:1:pos:R:3 pbc="T T T"
Ac -3.1628 -3.0986 6.7427
Ac -4.2649 1.1898 7.8196
Ac 1.1021 -4.2883 7.8196
Ac -1.1021 4.2884 6.7427
Ac 4.2649 -1.1898 6.7427
Ac 3.1628 3.0986 7.8196
Pr 0.0000 0.0000 0.0000
Pr 0.0000 0.0000 7.2812
S -5.4206 -1.5465 7.9179
S -1.3710 -5.4676 6.6444
S -2.4873 -0.2771 5.8599
S -4.0496 3.9211 6.6444
S -1.0037 -2.2926 8.7024
S 1.4836 -2.0155 5.8599
S -1.4836 2.0155 8.7024
S 1.0037 2.2926 5.8599
S 4.0496 -3.9211 7.9179
S 2.4873 0.2771 8.7024
S 1.3710 5.4677 7.9179
S 5.4206 1.5465 6.6444
```

Properties
Formation energy from raw total energies (eV/atom): -2.129
Energy above the lowest structure with this stoichiometry (meV/atom): 0.0
SG: No. 148

=====

Computed, not measured: Ac3Pr5S8 after structural relaxation at the PBE level of DFT.

Structure (extended XYZ):
```
16
Lattice="4.1840 2.4156 6.8286 -4.1840 2.4156 6.8286 0.0000 -4.8313 6.8286" Properties=species:S:1:pos:R:3 pbc="T T T"
Ac -2.0920 -1.2078 6.8286
Ac -2.0920 1.2078 13.6572
Ac 0.0000 2.4156 6.8286
Pr 0.0000 0.0000 0.0000
Pr -4.1840 0.0000 10.2429
Pr -2.0920 1.2078 3.4143
Pr 2.0920 1.2078 3.4143
Pr 0.0000 0.0000 10.2429
S -2.1241 -1.2263 11.8986
S 0.0000 0.0000 5.0399
S 0.0000 -2.4527 8.5872
S -2.1241 1.2263 8.5872
S 2.1241 -1.2263 11.8986
S 0.0000 2.4527 11.8986
S 0.0000 0.0000 15.4459
S 2.1241 1.2263 8.5872
```

Properties
Formation energy from raw total energies (eV/atom): -2.008
SG: No. 166

=====

no.,M_tot (μB/cell),DFT total energy (eV/atom),DOS at the Fermi energy (states/eV per cell)
1,0.00,-6.267,9.9
2,0.00,-5.512,5.5
3,0.00,-5.268,21.4
4,0.00,-6.644,22.5
5,0.00,-4.885,4.0
6,0.00,-5.201,5.1
7,0.00,-4.982,4.2
8,0.00,-5.037,4.1
9,0.00,-6.296,1.6
10,0.00,-6.299,1.5
11,0.00,-6.316,0.0
12,0.00,-6.336,8.0